4
Lattice="-0.058 -1.096 -2.852 0.486 -2.856 1.088 -6.802 -3.812 1.604" Properties=species:S:1:pos:R:3 comment="Cd2NiAg PBE relaxed" ef_mev_per_atom=6 e_tot_ev_per_atom=-2.609 pbc="T T T"
Ag -4.767 -5.549 0.593
Ni -1.608 -2.215 -0.753
Cd -2.954 -3.315 1.334
Cd 0.281 -2.875 1.099